1.
# GGA-PBE Mg2Be2Bi, optimized geometry
data_Mg2Be2Bi
_chemical_formula_sum 'Mg4 Be4 Bi2'
_cell_length_a 7.2575
_cell_length_b 7.2575
_cell_length_c 3.4987
_cell_angle_alpha 90.00
_cell_angle_beta 90.00
_cell_angle_gamma 90.00
_symmetry_space_group_name_H-M 'P 1'
_symmetry_Int_Tables_number 1
loop_
_symmetry_equiv_pos_as_xyz
'x,y,z'
loop_
_atom_site_label
_atom_site_fract_x
_atom_site_fract_y
_atom_site_fract_z
_atom_site_occupancy
Be1 0.6063 0.1063 0.0000 1
Be2 0.8937 0.6063 0.0000 1
Be3 0.3937 0.8937 0.0000 1
Be4 0.1063 0.3937 0.0000 1
Mg1 0.3303 0.1697 0.5000 1
Mg2 0.6697 0.8303 0.5000 1
Mg3 0.8303 0.3303 0.5000 1
Mg4 0.1697 0.6697 0.5000 1
Bi1 0.0000 0.0000 0.0000 1
Bi2 0.5000 0.5000 0.0000 1
# Crystal system ... tetragonal
# Space-group type ... P4/mbm
# E_form ... 0.32 eV/atom
# Total magnetization ... 0.00 μB per cell

***

2.
# GGA-PBE CaFe2SnC, optimized geometry
data_CaFe2SnC
_chemical_formula_sum 'Ca1 Fe2 Sn1 C1'
_cell_length_a 4.8444
_cell_length_b 5.9706
_cell_length_c 4.8444
_cell_angle_alpha 90.00
_cell_angle_beta 90.00
_cell_angle_gamma 90.00
_symmetry_space_group_name_H-M 'P 1'
_symmetry_Int_Tables_number 1
loop_
_symmetry_equiv_pos_as_xyz
'x,y,z'
loop_
_atom_site_label
_atom_site_fract_x
_atom_site_fract_y
_atom_site_fract_z
_atom_site_occupancy
Fe1 0.5000 0.0000 0.0000 1
Fe2 0.0000 0.0000 0.5000 1
Ca1 0.0000 0.5000 0.0000 1
C1 0.5000 0.5000 0.5000 1
Sn1 0.0000 0.0000 0.0000 1
# Crystal system ... tetragonal
# Space-group type ... P4/mmm
# E_form ... 2.01 eV/atom
# Total magnetization ... 4.05 μB per cell

***

3.
# GGA-PBE Ca2ZrTc, optimized geometry
data_Ca2ZrTc
_chemical_formula_sum 'Ca2 Zr1 Tc1'
_cell_length_a 3.0480
_cell_length_b 5.1595
_cell_length_c 5.9159
_cell_angle_alpha 90.00
_cell_angle_beta 90.00
_cell_angle_gamma 90.00
_symmetry_space_group_name_H-M 'P 1'
_symmetry_Int_Tables_number 1
loop_
_symmetry_equiv_pos_as_xyz
'x,y,z'
loop_
_atom_site_label
_atom_site_fract_x
_atom_site_fract_y
_atom_site_fract_z
_atom_site_occupancy
Ca1 0.0000 0.0000 0.4883 1
Ca2 0.0000 0.0000 0.0117 1
Tc1 0.5000 0.5000 0.2500 1
Zr1 0.5000 0.5000 0.7500 1
# Crystal system ... orthorhombic
# Space-group type ... Pmmm
# E_form ... 0.59 eV/atom
# Total magnetization ... 0.00 μB per cell

***

4.
# GGA-PBE Dy3HoN, optimized geometry
data_Dy3HoN
_chemical_formula_sum 'Dy3 Ho1 N1'
_cell_length_a 4.9543
_cell_length_b 4.9543
_cell_length_c 4.9543
_cell_angle_alpha 90.00
_cell_angle_beta 90.00
_cell_angle_gamma 90.00
_symmetry_space_group_name_H-M 'P 1'
_symmetry_Int_Tables_number 1
loop_
_symmetry_equiv_pos_as_xyz
'x,y,z'
loop_
_atom_site_label
_atom_site_fract_x
_atom_site_fract_y
_atom_site_fract_z
_atom_site_occupancy
Ho1 0.5000 0.5000 0.5000 1
Dy1 0.0000 0.0000 0.5000 1
Dy2 0.5000 0.0000 0.0000 1
Dy3 0.0000 0.5000 0.0000 1
N1 0.0000 0.0000 0.0000 1
# Crystal system ... cubic
# Space-group type ... Pm-3m
# Uncorrected formation energy ... -524 meV/atom
# Total magnetization ... 0.01 μB per cell